! TlSiHg3 PBE-GGA optimized geometry; values from VASP
! Energy relative to the lowest polymorph listed for this composition   0.634 eV/atom
&SYSTEM
  ibrav = 0, nat = 5, ntyp = 3
/
ATOMIC_SPECIES
Hg 200.59 Hg.upf
Si 28.09 Si.upf
Tl 204.38 Tl.upf
ATOMIC_POSITIONS angstrom
Hg 2.321 -1.390 0.989
Hg -1.702 -1.990 1.201
Si 0.515 -1.828 4.614
Tl 0.000 0.000 0.000
Hg -0.104 1.552 2.425
CELL_PARAMETERS angstrom
-3.405 -3.979 2.401
4.643 -2.779 1.977
-0.207 3.103 4.849

---

! Tl2SiHg PBE-GGA optimized geometry; values from VASP
! Energy relative to the lowest polymorph listed for this composition   0.082 eV/atom
&SYSTEM
  ibrav = 0, nat = 4, ntyp = 3
/
ATOMIC_SPECIES
Si 28.09 Si.upf
Tl 204.38 Tl.upf
Hg 200.59 Hg.upf
ATOMIC_POSITIONS angstrom
Si -5.179 3.471 -4.597
Tl -20.558 13.779 -18.245
Hg -15.538 10.414 -13.790
Tl -10.519 7.050 -9.335
CELL_PARAMETERS angstrom
-6.161 3.655 -7.703
-8.390 3.821 -5.067
-6.167 6.410 -5.616

---

! Tl2SiHg PBE-GGA optimized geometry; values from VASP
! Energy relative to the lowest polymorph listed for this composition   0.112 eV/atom
&SYSTEM
  ibrav = 0, nat = 4, ntyp = 3
/
ATOMIC_SPECIES
Si 28.09 Si.upf
Tl 204.38 Tl.upf
Hg 200.59 Hg.upf
ATOMIC_POSITIONS angstrom
Si 1.961 -1.252 3.046
Tl 0.000 0.000 0.000
Hg 0.942 1.820 2.413
Tl -1.191 -1.345 2.766
CELL_PARAMETERS angstrom
-2.211 1.728 2.134
-0.172 -4.417 3.399
4.094 1.913 2.693

---

! Tl2SiHg PBE-GGA optimized geometry; values from VASP
! Energy relative to the lowest polymorph listed for this composition   0.104 eV/atom
&SYSTEM
  ibrav = 0, nat = 4, ntyp = 3
/
ATOMIC_SPECIES
Tl 204.38 Tl.upf
Si 28.09 Si.upf
Hg 200.59 Hg.upf
ATOMIC_POSITIONS angstrom
Tl 0.000 0.000 0.000
Tl -2.240 -3.097 -0.703
Si -0.112 -1.738 -2.731
Hg 3.010 -1.552 -1.424
CELL_PARAMETERS angstrom
-5.362 -3.283 -2.010
5.138 -0.193 -3.452
0.882 -2.911 0.605

---

! Tl2SiHg PBE-GGA optimized geometry; values from VASP
! Energy relative to the lowest polymorph listed for this composition   0.000 eV/atom
&SYSTEM
  ibrav = 0, nat = 4, ntyp = 3
/
ATOMIC_SPECIES
Si 28.09 Si.upf
Hg 200.59 Hg.upf
Tl 204.38 Tl.upf
ATOMIC_POSITIONS angstrom
Si 3.974 -0.231 1.364
Hg 2.930 2.365 1.369
Tl 12.414 4.997 0.000
Tl 7.627 3.070 0.000
CELL_PARAMETERS angstrom
7.725 0.093 -0.005
5.636 5.285 0.005
-6.457 -3.244 2.734

---

! Tl2SiHg PBE-GGA optimized geometry; values from VASP
! Energy relative to the lowest polymorph listed for this composition   0.085 eV/atom
&SYSTEM
  ibrav = 0, nat = 4, ntyp = 3
/
ATOMIC_SPECIES
Tl 204.38 Tl.upf
Si 28.09 Si.upf
Hg 200.59 Hg.upf
ATOMIC_POSITIONS angstrom
Tl 7.905 4.564 3.227
Si 2.635 1.521 1.076
Hg 5.270 3.042 2.151
Tl 0.000 0.000 0.000
CELL_PARAMETERS angstrom
5.270 0.000 0.000
2.635 4.564 0.000
2.635 1.521 4.303

---

! TlSi2Hg PBE-GGA optimized geometry; values from VASP
! Energy relative to the lowest polymorph listed for this composition   0.480 eV/atom
&SYSTEM
  ibrav = 0, nat = 4, ntyp = 3
/
ATOMIC_SPECIES
Si 28.09 Si.upf
Tl 204.38 Tl.upf
Hg 200.59 Hg.upf
ATOMIC_POSITIONS angstrom
Si 0.000 0.000 8.733
Tl 1.568 1.568 2.233
Hg 1.568 1.568 6.698
Si 0.000 0.000 4.663
CELL_PARAMETERS angstrom
3.136 0.000 0.000
0.000 3.136 0.000
0.000 0.000 8.930

---

! Tl2SiHg PBE-GGA optimized geometry; values from VASP
! Energy relative to the lowest polymorph listed for this composition   0.066 eV/atom
&SYSTEM
  ibrav = 0, nat = 4, ntyp = 3
/
ATOMIC_SPECIES
Si 28.09 Si.upf
Hg 200.59 Hg.upf
Tl 204.38 Tl.upf
ATOMIC_POSITIONS angstrom
Si -0.441 2.716 1.715
Hg 2.722 0.403 1.715
Tl 0.000 0.000 0.000
Tl 2.281 3.119 0.000
CELL_PARAMETERS angstrom
5.443 0.806 0.000
-0.882 5.432 0.000
0.000 0.000 3.431

---

Density functional theory data (PBE-GGA) for a relaxed structure of Tl2SiHg2. Values from VASP.

Quantum ESPRESSO input file:
```
&SYSTEM
  ibrav = 0, nat = 10, ntyp = 3
/
ATOMIC_SPECIES
Hg 200.59 Hg.upf
Tl 204.38 Tl.upf
Si 28.09 Si.upf
ATOMIC_POSITIONS angstrom
Hg -4.426 -3.180 3.592
Hg -3.703 1.998 2.209
Hg -6.272 0.092 4.305
Hg -1.857 -1.274 1.497
Tl -0.659 0.857 3.610
Si -4.065 -0.591 2.901
Tl -4.445 -1.289 6.584
Si 0.000 0.000 0.000
Tl -3.634 2.163 5.436
Tl -1.470 -2.595 4.757
CELL_PARAMETERS angstrom
-4.951 4.353 2.667
-3.179 -5.535 3.135
3.025 0.750 4.392
```

---

! Tl2Si2Hg PBE-GGA optimized geometry; values from VASP
! Energy relative to the lowest polymorph listed for this composition   0.155 eV/atom
&SYSTEM
  ibrav = 0, nat = 10, ntyp = 3
/
ATOMIC_SPECIES
Tl 204.38 Tl.upf
Si 28.09 Si.upf
Hg 200.59 Hg.upf
ATOMIC_POSITIONS angstrom
Tl 2.175 1.224 2.665
Si 2.557 5.956 0.000
Tl 4.623 5.574 2.665
Tl 1.224 4.623 2.665
Hg 3.399 3.399 0.000
Hg 0.000 0.000 0.000
Si 5.956 4.240 0.000
Tl 5.574 2.175 2.665
Si 0.842 2.557 0.000
Si 4.240 0.842 0.000
CELL_PARAMETERS angstrom
6.798 0.000 0.000
0.000 6.798 0.000
0.000 0.000 5.330

---

! TlSi2Hg PBE-GGA optimized geometry; values from VASP
! Energy relative to the lowest polymorph listed for this composition   0.482 eV/atom
&SYSTEM
  ibrav = 0, nat = 4, ntyp = 3
/
ATOMIC_SPECIES
Si 28.09 Si.upf
Hg 200.59 Hg.upf
Tl 204.38 Tl.upf
ATOMIC_POSITIONS angstrom
Si 0.912 2.568 1.572
Hg 2.725 0.000 1.572
Tl 3.637 2.568 0.000
Si 0.000 0.000 0.000
CELL_PARAMETERS angstrom
5.450 0.000 0.000
1.824 5.136 0.000
-3.637 -2.568 3.143

---

! TlSi2Hg PBE-GGA optimized geometry; values from VASP
! Energy relative to the lowest polymorph listed for this composition   0.473 eV/atom
&SYSTEM
  ibrav = 0, nat = 8, ntyp = 3
/
ATOMIC_SPECIES
Si 28.09 Si.upf
Hg 200.59 Hg.upf
Tl 204.38 Tl.upf
ATOMIC_POSITIONS angstrom
Si 3.862 4.055 5.848
Hg 2.574 5.149 3.899
Hg 2.574 2.574 0.000
Si 6.436 6.243 5.848
Si 3.668 1.287 1.949
Si 1.481 3.862 1.949
Tl 0.000 0.000 0.000
Tl 5.149 2.574 3.899
CELL_PARAMETERS angstrom
5.149 0.000 0.000
0.000 5.149 0.000
2.574 2.574 7.798

---

! Tl3SiHg PBE-GGA optimized geometry; values from VASP
! Energy relative to the lowest polymorph listed for this composition   0.434 eV/atom
&SYSTEM
  ibrav = 0, nat = 5, ntyp = 3
/
ATOMIC_SPECIES
Si 28.09 Si.upf
Hg 200.59 Hg.upf
Tl 204.38 Tl.upf
ATOMIC_POSITIONS angstrom
Si 2.836 2.836 2.836
Hg 0.000 0.000 0.000
Tl 0.000 2.836 0.000
Tl 2.836 0.000 0.000
Tl 0.000 0.000 2.836
CELL_PARAMETERS angstrom
5.672 0.000 0.000
0.000 5.672 0.000
0.000 0.000 5.672

---

! TlSi2Hg PBE-GGA optimized geometry; values from VASP
! Energy relative to the lowest polymorph listed for this composition   0.483 eV/atom
&SYSTEM
  ibrav = 0, nat = 4, ntyp = 3
/
ATOMIC_SPECIES
Si 28.09 Si.upf
Tl 204.38 Tl.upf
Hg 200.59 Hg.upf
ATOMIC_POSITIONS angstrom
Si 0.000 0.000 0.000
Si 2.355 2.355 0.000
Tl 2.355 0.000 1.970
Hg 0.000 2.355 1.970
CELL_PARAMETERS angstrom
4.709 0.000 0.000
0.000 4.709 0.000
0.000 0.000 3.940

---

! TlSi2Hg PBE-GGA optimized geometry; values from VASP
! Energy relative to the lowest polymorph listed for this composition   0.129 eV/atom
&SYSTEM
  ibrav = 0, nat = 4, ntyp = 3
/
ATOMIC_SPECIES
Si 28.09 Si.upf
Hg 200.59 Hg.upf
Tl 204.38 Tl.upf
ATOMIC_POSITIONS angstrom
Si 1.718 1.718 0.754
Hg 1.718 1.718 6.240
Si 0.000 0.000 1.175
Tl 0.000 0.000 4.034
CELL_PARAMETERS angstrom
3.436 0.000 0.000
0.000 3.436 0.000
0.000 0.000 8.135

---

! Tl3SiHg PBE-GGA optimized geometry; values from VASP
! Energy relative to the lowest polymorph listed for this composition   0.000 eV/atom
&SYSTEM
  ibrav = 0, nat = 5, ntyp = 3
/
ATOMIC_SPECIES
Tl 204.38 Tl.upf
Hg 200.59 Hg.upf
Si 28.09 Si.upf
ATOMIC_POSITIONS angstrom
Tl 0.000 2.753 0.000
Hg 2.753 2.753 2.753
Si 0.000 0.000 0.000
Tl 2.753 0.000 0.000
Tl 0.000 0.000 2.753
CELL_PARAMETERS angstrom
5.507 0.000 0.000
0.000 5.507 0.000
0.000 0.000 5.507

---

! Tl2Si2Hg PBE-GGA optimized geometry; values from VASP
! Energy relative to the lowest polymorph listed for this composition   0.208 eV/atom
&SYSTEM
  ibrav = 0, nat = 5, ntyp = 3
/
ATOMIC_SPECIES
Tl 204.38 Tl.upf
Si 28.09 Si.upf
Hg 200.59 Hg.upf
ATOMIC_POSITIONS angstrom
Tl -2.849 -5.122 2.034
Si -1.540 -7.674 2.306
Hg 0.000 0.000 0.000
Si -0.998 -3.605 0.430
Tl 0.311 -6.156 0.702
CELL_PARAMETERS angstrom
-4.493 -2.230 0.704
1.827 -4.299 -1.959
0.127 -4.749 3.992

---

! TlSi2Hg PBE-GGA optimized geometry; values from VASP
! Energy relative to the lowest polymorph listed for this composition   0.410 eV/atom
&SYSTEM
  ibrav = 0, nat = 4, ntyp = 3
/
ATOMIC_SPECIES
Tl 204.38 Tl.upf
Hg 200.59 Hg.upf
Si 28.09 Si.upf
ATOMIC_POSITIONS angstrom
Tl 2.075 2.130 0.236
Hg 3.476 0.553 2.172
Si 0.000 0.000 0.000
Si -0.314 2.197 2.022
CELL_PARAMETERS angstrom
5.865 0.486 0.387
-1.715 3.775 0.086
1.088 0.619 3.958

---

! TlSi2Hg PBE-GGA optimized geometry; values from VASP
! Energy relative to the lowest polymorph listed for this composition   0.167 eV/atom
&SYSTEM
  ibrav = 0, nat = 4, ntyp = 3
/
ATOMIC_SPECIES
Si 28.09 Si.upf
Hg 200.59 Hg.upf
Tl 204.38 Tl.upf
ATOMIC_POSITIONS angstrom
Si 5.449 2.091 3.883
Si 1.309 0.502 1.417
Hg 3.379 1.297 2.650
Tl 10.136 3.890 7.950
CELL_PARAMETERS angstrom
5.819 0.198 1.614
4.457 3.746 1.614
3.240 1.243 7.371

---

! Tl2SiHg PBE-GGA optimized geometry; values from VASP
! Energy relative to the lowest polymorph listed for this composition   0.036 eV/atom
&SYSTEM
  ibrav = 0, nat = 8, ntyp = 3
/
ATOMIC_SPECIES
Tl 204.38 Tl.upf
Si 28.09 Si.upf
Hg 200.59 Hg.upf
ATOMIC_POSITIONS angstrom
Tl 11.761 10.893 1.985
Tl 3.220 7.057 0.662
Si 4.704 9.409 1.323
Si 4.704 4.704 0.000
Tl 6.189 2.352 0.662
Tl 7.057 7.924 1.985
Hg 0.000 0.000 0.000
Hg 9.409 4.704 1.323
CELL_PARAMETERS angstrom
9.409 0.000 0.000
0.000 9.409 0.000
4.704 4.704 2.647

---

! TlSi2Hg PBE-GGA optimized geometry; values from VASP
! Energy relative to the lowest polymorph listed for this composition   0.480 eV/atom
&SYSTEM
  ibrav = 0, nat = 4, ntyp = 3
/
ATOMIC_SPECIES
Si 28.09 Si.upf
Hg 200.59 Hg.upf
Tl 204.38 Tl.upf
ATOMIC_POSITIONS angstrom
Si -0.165 -0.013 -0.059
Si -14.902 -1.197 -5.320
Hg -22.600 -1.816 -8.069
Tl -7.533 -0.605 -2.690
CELL_PARAMETERS angstrom
-10.325 0.914 -3.187
-9.430 -1.261 -5.204
-10.378 -2.074 -2.368

---

! Tl2SiHg PBE-GGA optimized geometry; values from VASP
! Energy relative to the lowest polymorph listed for this composition   0.022 eV/atom
&SYSTEM
  ibrav = 0, nat = 4, ntyp = 3
/
ATOMIC_SPECIES
Tl 204.38 Tl.upf
Si 28.09 Si.upf
Hg 200.59 Hg.upf
ATOMIC_POSITIONS angstrom
Tl 2.411 -4.853 1.102
Si -2.916 -11.759 -0.713
Hg -1.551 -7.542 -0.334
Tl -0.844 -3.834 -0.191
CELL_PARAMETERS angstrom
-3.835 -5.411 0.440
-2.672 -5.517 -2.569
2.744 -4.639 1.223

---

! Tl2SiHg PBE-GGA optimized geometry; values from VASP
! Energy relative to the lowest polymorph listed for this composition   0.032 eV/atom
&SYSTEM
  ibrav = 0, nat = 4, ntyp = 3
/
ATOMIC_SPECIES
Si 28.09 Si.upf
Tl 204.38 Tl.upf
Hg 200.59 Hg.upf
ATOMIC_POSITIONS angstrom
Si -4.474 -5.745 -1.404
Tl -4.901 -7.609 1.111
Tl -2.654 -4.120 0.602
Hg -1.956 -1.836 -1.975
CELL_PARAMETERS angstrom
-2.569 1.419 -1.614
1.174 -1.181 -2.906
-5.036 -7.819 1.142

---

! Tl2SiHg PBE-GGA optimized geometry; values from VASP
! Energy relative to the lowest polymorph listed for this composition   0.090 eV/atom
&SYSTEM
  ibrav = 0, nat = 4, ntyp = 3
/
ATOMIC_SPECIES
Hg 200.59 Hg.upf
Si 28.09 Si.upf
Tl 204.38 Tl.upf
ATOMIC_POSITIONS angstrom
Hg 3.736 3.736 3.736
Si 0.000 0.000 0.000
Tl 5.605 5.605 5.605
Tl 1.868 1.868 1.868
CELL_PARAMETERS angstrom
0.000 3.736 3.736
3.736 0.000 3.736
3.736 3.736 0.000

---

! TlSi2Hg2 PBE-GGA optimized geometry; values from VASP
! Energy relative to the lowest polymorph listed for this composition   0.000 eV/atom
&SYSTEM
  ibrav = 0, nat = 5, ntyp = 3
/
ATOMIC_SPECIES
Si 28.09 Si.upf
Hg 200.59 Hg.upf
Tl 204.38 Tl.upf
ATOMIC_POSITIONS angstrom
Si 2.601 -4.126 3.882
Hg 2.118 -2.061 1.611
Tl 0.000 0.000 0.000
Si 4.381 -2.433 3.708
Hg 4.864 -4.498 5.979
CELL_PARAMETERS angstrom
-0.166 -3.451 -0.433
3.393 -0.065 -0.781
3.755 -3.042 8.804

---

! TlSi2Hg PBE-GGA optimized geometry; values from VASP
! Energy relative to the lowest polymorph listed for this composition   0.000 eV/atom
&SYSTEM
  ibrav = 0, nat = 4, ntyp = 3
/
ATOMIC_SPECIES
Si 28.09 Si.upf
Hg 200.59 Hg.upf
Tl 204.38 Tl.upf
ATOMIC_POSITIONS angstrom
Si 1.722 0.991 7.316
Hg 0.979 0.564 1.809
Si 5.461 3.143 6.044
Tl 3.096 1.781 3.971
CELL_PARAMETERS angstrom
3.814 -0.011 -0.399
1.907 3.303 -0.399
1.071 0.616 8.135

---

Density functional theory data (PBE-GGA) for a relaxed structure of TlSiHg2W. Values from VASP.

Quantum ESPRESSO input file:
```
&SYSTEM
  ibrav = 0, nat = 5, ntyp = 4
/
ATOMIC_SPECIES
Hg 200.59 Hg.upf
Tl 204.38 Tl.upf
W 183.84 W.upf
Si 28.09 Si.upf
ATOMIC_POSITIONS angstrom
Hg -1.814 -1.858 0.482
Tl 0.839 -1.370 -2.129
W 0.000 0.000 0.000
Hg -1.731 1.296 -1.516
Si -2.706 -1.932 -3.163
CELL_PARAMETERS angstrom
-3.462 2.593 -3.033
1.677 -2.741 -4.257
-3.628 -3.717 0.964
```

---

! TmSiHg PBE-GGA optimized geometry; values from VASP
! Energy relative to the lowest polymorph listed for this composition   0.145 eV/atom
&SYSTEM
  ibrav = 0, nat = 3, ntyp = 3
/
ATOMIC_SPECIES
Hg 200.59 Hg.upf
Tm 168.93 Tm.upf
Si 28.09 Si.upf
ATOMIC_POSITIONS angstrom
Hg 0.988 2.155 1.244
Tm 2.757 0.000 2.488
Si 0.324 0.000 0.000
CELL_PARAMETERS angstrom
4.070 0.000 0.000
0.000 4.310 0.000
0.000 -2.155 3.732

---

! TmSiHg PBE-GGA optimized geometry; values from VASP
! Energy relative to the lowest polymorph listed for this composition   0.000 eV/atom
&SYSTEM
  ibrav = 0, nat = 6, ntyp = 3
/
ATOMIC_SPECIES
Tm 168.93 Tm.upf
Si 28.09 Si.upf
Hg 200.59 Hg.upf
ATOMIC_POSITIONS angstrom
Tm 0.957 4.145 1.505
Si 0.957 4.145 7.383
Hg 0.957 4.145 4.656
Hg 2.871 2.072 3.449
Si 2.871 2.072 0.723
Tm 2.871 2.072 6.601
CELL_PARAMETERS angstrom
3.827 0.000 0.000
0.000 4.145 0.000
0.000 2.072 8.105

---

Summary of ΔE_f (raw) in eV per atom
0.838 0.354 0.385 0.377 0.273 0.358 0.653 0.339 0.247 0.347 0.655 0.646 0.770 0.656 0.302 0.336 0.400 0.583 0.340 0.309 0.653 0.295 0.304 0.363 0.257 0.173 1.372 -0.343 -0.488
(order as listed above)
Summary of N(E_F) in states/eV/cell
4.02 1.98 1.41 1.36 1.40 1.73 1.59 1.53 3.66 3.56 2.11 3.15 4.79 1.69 2.05 2.88 1.94 1.58 1.70 2.87 1.70 1.47 1.66 2.23 2.25 1.35 3.10 1.25 2.52
(order as listed above)